# 1
GGA-PBE TcRu2Pb, relaxed; energy of formation = 0.51 eV/atom; V = 16.60 Å³ per atom; symmetry = No. 12; spin magnetization = 1.58 μB per cell
1.0
9.164 0.000 0.000
0.000 2.942 0.000
-0.901 0.000 4.926
Tc Ru Pb
2 4 2
direct
0.000 0.000 0.000 Tc
0.500 0.500 0.000 Tc
0.239 0.500 0.213 Ru
0.261 0.000 0.787 Ru
0.739 0.000 0.213 Ru
0.761 0.500 0.787 Ru
0.000 0.500 0.500 Pb
0.500 0.000 0.500 Pb

---

# 2
GGA-PBE BaAgSnHg, relaxed; energy above the lowest structure with this stoichiometry = 0 meV per atom; energy of formation = -0.37 eV/atom; V = 30.94 Å³ per atom; symmetry = No. 160; spin magnetization = 0.00 μB per cell
1.0
4.912 0.000 0.000
-2.456 4.254 0.000
0.000 0.000 17.768
Ba Ag Sn Hg
3 3 3 3
direct
0.000 0.000 0.000 Ba
0.333 0.667 0.667 Ba
0.667 0.333 0.333 Ba
0.000 0.000 0.202 Ag
0.333 0.667 0.869 Ag
0.667 0.333 0.535 Ag
0.000 0.000 0.527 Sn
0.333 0.667 0.194 Sn
0.667 0.333 0.860 Sn
0.000 0.000 0.777 Hg
0.333 0.667 0.444 Hg
0.667 0.333 0.110 Hg

---

# 3
GGA-PBE Ga6TcNi, relaxed; energy of formation = -0.04 eV/atom; V = 16.67 Å³ per atom; symmetry = No. 166; spin magnetization = 0.00 μB per cell
1.0
4.086 2.359 2.306
-4.086 2.359 2.306
0.000 -4.718 2.306
Ga Tc Ni
6 1 1
direct
0.203 0.203 0.637 Ga
0.203 0.637 0.203 Ga
0.363 0.797 0.797 Ga
0.637 0.203 0.203 Ga
0.797 0.363 0.797 Ga
0.797 0.797 0.363 Ga
0.000 0.000 0.000 Tc
0.500 0.500 0.500 Ni

---

# 4
GGA-PBE CaMg2I, relaxed; energy above the lowest structure with this stoichiometry = 283 meV per atom; uncorrected formation energy = 92 meV per atom; V = 34.29 Å³ per atom; symmetry = No. 225; spin magnetization = 0.00 μB per cell
1.0
8.186 0.000 0.000
0.000 8.186 0.000
0.000 0.000 8.186
Ca Mg I
4 8 4
direct
0.000 0.000 0.000 Ca
0.000 0.500 0.500 Ca
0.500 0.000 0.500 Ca
0.500 0.500 0.000 Ca
0.250 0.250 0.250 Mg
0.250 0.250 0.750 Mg
0.250 0.750 0.250 Mg
0.250 0.750 0.750 Mg
0.750 0.250 0.250 Mg
0.750 0.250 0.750 Mg
0.750 0.750 0.250 Mg
0.750 0.750 0.750 Mg
0.000 0.000 0.500 I
0.000 0.500 0.000 I
0.500 0.000 0.000 I
0.500 0.500 0.500 I

---

# 5
GGA-PBE H3AuS, relaxed; energy above the lowest structure with this stoichiometry = 32 meV per atom; V = 9.53 Å³ per atom; symmetry = No. 221; spin magnetization = 0.00 μB per cell
1.0
3.626 0.000 0.000
0.000 3.626 0.000
0.000 0.000 3.626
H Au S
3 1 1
direct
0.000 0.000 0.500 H
0.000 0.500 0.000 H
0.500 0.000 0.000 H
0.500 0.500 0.500 Au
0.000 0.000 0.000 S

---

# 6
GGA-PBE NaPrSn2Cl8, relaxed; uncorrected formation energy = -1548 meV per atom; V = 31.85 Å³ per atom; symmetry = No. 2; spin magnetization = 0.00 μB per cell
1.0
6.576 0.000 0.000
0.137 6.783 0.000
0.008 0.006 8.570
Na Pr Sn Cl
1 1 2 8
direct
0.000 0.000 0.000 Na
0.000 0.000 0.500 Pr
0.500 0.500 0.240 Sn
0.500 0.500 0.760 Sn
0.222 0.833 0.255 Cl
0.224 0.835 0.745 Cl
0.256 0.320 0.498 Cl
0.285 0.335 0.002 Cl
0.715 0.665 0.998 Cl
0.744 0.680 0.502 Cl
0.776 0.165 0.255 Cl
0.778 0.167 0.745 Cl

---

# 7
GGA-PBE BaFeTe2, relaxed; uncorrected formation energy = -399 meV per atom; V = 31.71 Å³ per atom; symmetry = No. 44; spin magnetization = 7.40 μB per cell
1.0
3.909 0.000 0.000
0.000 4.252 0.000
0.000 0.000 15.259
Ba Fe Te
2 2 4
direct
0.000 0.000 0.000 Ba
0.500 0.500 0.500 Ba
0.000 0.500 0.752 Fe
0.500 0.000 0.252 Fe
0.000 0.000 0.380 Te
0.000 0.500 0.182 Te
0.500 0.000 0.682 Te
0.500 0.500 0.880 Te

---

# 8
GGA-PBE InTe2ICl, relaxed; energy above the lowest structure with this stoichiometry = 0 meV per atom; uncorrected formation energy = 316 meV per atom; V = 41.69 Å³ per atom; symmetry = No. 123; spin magnetization = 1.50 μB per cell
1.0
5.271 0.000 0.000
0.000 5.271 0.000
0.000 0.000 7.503
In Te I Cl
1 2 1 1
direct
0.000 0.000 0.000 In
0.000 0.500 0.500 Te
0.500 0.000 0.500 Te
0.500 0.500 0.000 I
0.500 0.500 0.500 Cl

---

# 9
GGA-PBE LiEuPb2, relaxed; energy above the lowest structure with this stoichiometry = 0 meV per atom; energy of formation = -0.39 eV/atom; V = 27.60 Å³ per atom; symmetry = No. 123; spin magnetization = 6.92 μB per cell
1.0
4.877 0.000 0.000
0.000 4.877 0.000
0.000 0.000 4.641
Li Eu Pb
1 1 2
direct
0.000 0.000 0.000 Li
0.500 0.500 0.000 Eu
0.000 0.500 0.500 Pb
0.500 0.000 0.500 Pb

---

# 10
GGA-PBE BaHoHgPb, relaxed; energy of formation = -0.38 eV/atom; V = 32.36 Å³ per atom; symmetry = No. 216; spin magnetization = 0.00 μB per cell
1.0
8.030 0.000 0.000
0.000 8.030 0.000
0.000 0.000 8.030
Ba Ho Hg Pb
4 4 4 4
direct
0.000 0.000 0.000 Ba
0.000 0.500 0.500 Ba
0.500 0.000 0.500 Ba
0.500 0.500 0.000 Ba
0.000 0.000 0.500 Ho
0.000 0.500 0.000 Ho
0.500 0.000 0.000 Ho
0.500 0.500 0.500 Ho
0.250 0.250 0.250 Hg
0.250 0.750 0.750 Hg
0.750 0.250 0.750 Hg
0.750 0.750 0.250 Hg
0.250 0.250 0.750 Pb
0.250 0.750 0.250 Pb
0.750 0.250 0.250 Pb
0.750 0.750 0.750 Pb

---

# 11
GGA-PBE NaAcHgP, relaxed; energy of formation = -0.50 eV/atom; V = 26.64 Å³ per atom; symmetry = No. 216; spin magnetization = 0.00 μB per cell
1.0
7.526 0.000 0.000
0.000 7.526 0.000
0.000 0.000 7.526
Na Ac Hg P
4 4 4 4
direct
0.000 0.000 0.000 Na
0.000 0.500 0.500 Na
0.500 0.000 0.500 Na
0.500 0.500 0.000 Na
0.000 0.000 0.500 Ac
0.000 0.500 0.000 Ac
0.500 0.000 0.000 Ac
0.500 0.500 0.500 Ac
0.250 0.250 0.750 Hg
0.250 0.750 0.250 Hg
0.750 0.250 0.250 Hg
0.750 0.750 0.750 Hg
0.250 0.250 0.250 P
0.250 0.750 0.750 P
0.750 0.250 0.750 P
0.750 0.750 0.250 P

---

# 12
GGA-PBE RuPt2W, relaxed; energy above the lowest structure with this stoichiometry = 146 meV per atom; energy of formation = -0.05 eV/atom; V = 15.32 Å³ per atom; symmetry = No. 123; spin magnetization = 1.68 μB per cell
1.0
2.750 0.000 0.000
0.000 2.750 0.000
0.000 0.000 8.103
Ru Pt W
1 2 1
direct
0.000 0.000 0.000 Ru
0.500 0.500 0.252 Pt
0.500 0.500 0.748 Pt
0.000 0.000 0.500 W

---

# 13
GGA-PBE Sc2TlCuH, relaxed; energy above the lowest structure with this stoichiometry = 0 meV per atom; V = 16.36 Å³ per atom; symmetry = No. 123; spin magnetization = 0.65 μB per cell
1.0
4.575 0.000 0.000
0.000 4.575 0.000
0.000 0.000 3.909
Sc Tl Cu H
2 1 1 1
direct
0.000 0.500 0.000 Sc
0.500 0.000 0.000 Sc
0.000 0.000 0.500 Tl
0.500 0.500 0.500 Cu
0.500 0.500 0.000 H

---

# 14
GGA-PBE Tl2CuIr, relaxed; energy above the lowest structure with this stoichiometry = 174 meV per atom; energy of formation = 0.51 eV/atom; V = 18.91 Å³ per atom; symmetry = No. 12; spin magnetization = 0.00 μB per cell
1.0
6.817 0.000 0.000
0.000 7.078 0.000
-0.070 0.000 3.135
Tl Cu Ir
4 2 2
direct
0.250 0.250 0.000 Tl
0.250 0.750 0.000 Tl
0.750 0.250 0.000 Tl
0.750 0.750 0.000 Tl
0.000 0.000 0.500 Cu
0.500 0.500 0.500 Cu
0.000 0.500 0.500 Ir
0.500 0.000 0.500 Ir

---

# 15
GGA-PBE Nd2Cd2Hg, relaxed; energy above the lowest structure with this stoichiometry = 0 meV per atom; energy of formation = -0.32 eV/atom; V = 27.20 Å³ per atom; symmetry = No. 12; spin magnetization = 0.00 μB per cell
1.0
5.663 -2.515 0.000
5.663 2.515 0.000
-3.254 0.000 9.547
Nd Cd Hg
4 4 2
direct
0.049 0.049 0.355 Nd
0.174 0.174 0.079 Nd
0.826 0.826 0.921 Nd
0.951 0.951 0.645 Nd
0.372 0.372 0.404 Cd
0.475 0.475 0.134 Cd
0.525 0.525 0.866 Cd
0.628 0.628 0.596 Cd
0.260 0.260 0.692 Hg
0.740 0.740 0.308 Hg

---

# 16
GGA-PBE PrPu2As2Pd2, relaxed; energy of formation = -0.78 eV/atom; V = 21.45 Å³ per atom; symmetry = No. 166; spin magnetization = 11.08 μB per cell
1.0
2.251 1.300 8.555
-2.251 1.300 8.555
0.000 -2.599 8.555
Pr Pu As Pd
1 2 2 2
direct
0.000 0.000 0.000 Pr
0.142 0.142 0.142 Pu
0.858 0.858 0.858 Pu
0.263 0.263 0.263 As
0.737 0.737 0.737 As
0.424 0.424 0.424 Pd
0.576 0.576 0.576 Pd

---

# 17
GGA-PBE Nd6Cu2Pt, relaxed; energy of formation = -0.24 eV/atom; V = 29.48 Å³ per atom; symmetry = No. 14; spin magnetization = 0.00 μB per cell
1.0
6.695 0.000 0.000
0.000 7.508 0.000
-6.322 0.000 10.558
Nd Cu Pt
12 4 2
direct
0.080 0.191 0.426 Nd
0.080 0.309 0.926 Nd
0.253 0.669 0.429 Nd
0.253 0.831 0.929 Nd
0.398 0.045 0.241 Nd
0.398 0.455 0.741 Nd
0.602 0.545 0.259 Nd
0.602 0.955 0.759 Nd
0.747 0.169 0.071 Nd
0.747 0.331 0.571 Nd
0.920 0.691 0.074 Nd
0.920 0.809 0.574 Nd
0.170 0.112 0.736 Cu
0.170 0.388 0.236 Cu
0.830 0.612 0.764 Cu
0.830 0.888 0.264 Cu
0.500 0.000 0.500 Pt
0.500 0.500 0.000 Pt

---

# 18
GGA-PBE SrBi3B, relaxed; energy above the lowest structure with this stoichiometry = 0 meV per atom; energy of formation = 0.30 eV/atom; V = 29.01 Å³ per atom; symmetry = No. 221; spin magnetization = 0.00 μB per cell
1.0
5.254 0.000 0.000
0.000 5.254 0.000
0.000 0.000 5.254
Sr Bi B
1 3 1
direct
0.000 0.000 0.000 Sr
0.000 0.500 0.500 Bi
0.500 0.000 0.500 Bi
0.500 0.500 0.000 Bi
0.500 0.500 0.500 B

---

# 19
GGA-PBE Tl2BiTe2, relaxed; energy above the lowest structure with this stoichiometry = 287 meV per atom; uncorrected formation energy = 122 meV per atom; V = 32.34 Å³ per atom; symmetry = No. 127; spin magnetization = 0.00 μB per cell
1.0
8.838 0.000 0.000
0.000 8.838 0.000
0.000 0.000 4.140
Tl Bi Te
4 2 4
direct
0.126 0.374 0.000 Tl
0.374 0.874 0.000 Tl
0.626 0.126 0.000 Tl
0.874 0.626 0.000 Tl
0.000 0.000 0.000 Bi
0.500 0.500 0.000 Bi
0.185 0.685 0.500 Te
0.315 0.185 0.500 Te
0.685 0.815 0.500 Te
0.815 0.315 0.500 Te

---

# 20
GGA-PBE ZnTeP, relaxed; energy above the lowest structure with this stoichiometry = 95 meV per atom; uncorrected formation energy = -29 meV per atom; V = 25.47 Å³ per atom; symmetry = No. 1; spin magnetization = 0.00 μB per cell
1.0
4.195 0.000 0.000
-2.028 5.637 0.000
-1.130 -1.395 6.462
Zn Te P
2 2 2
direct
0.000 0.000 0.000 Zn
0.267 0.735 0.503 Zn
0.197 0.159 0.421 Te
0.461 0.453 0.968 Te
0.394 0.832 0.872 P
0.627 0.553 0.364 P

---

# 21
GGA-PBE La2YScSe6, relaxed; uncorrected formation energy = -1921 meV per atom; V = 27.39 Å³ per atom; symmetry = No. 14; spin magnetization = 0.00 μB per cell
1.0
6.937 0.000 0.000
0.000 7.681 0.000
-6.785 0.000 10.280
La Y Sc Se
4 2 2 12
direct
0.206 0.103 0.247 La
0.206 0.397 0.747 La
0.794 0.603 0.253 La
0.794 0.897 0.753 La
0.500 0.000 0.000 Y
0.500 0.500 0.500 Y
0.000 0.000 0.500 Sc
0.000 0.500 0.000 Sc
0.101 0.190 0.933 Se
0.101 0.310 0.433 Se
0.253 0.679 0.934 Se
0.253 0.821 0.434 Se
0.380 0.042 0.742 Se
0.380 0.458 0.242 Se
0.620 0.542 0.758 Se
0.620 0.958 0.258 Se
0.747 0.179 0.566 Se
0.747 0.321 0.066 Se
0.899 0.690 0.567 Se
0.899 0.810 0.067 Se

---

# 22
GGA-PBE Pm2DyNpAs4, relaxed; energy of formation = -1.31 eV/atom; V = 25.67 Å³ per atom; symmetry = No. 10; spin magnetization = 3.74 μB per cell
1.0
7.221 0.000 0.000
0.000 4.167 0.000
-2.389 0.000 6.823
Pm Dy Np As
2 1 1 4
direct
0.000 0.000 0.000 Pm
0.500 0.500 0.000 Pm
0.000 0.500 0.500 Dy
0.500 0.000 0.500 Np
0.250 0.000 0.740 As
0.255 0.500 0.260 As
0.745 0.500 0.740 As
0.750 0.000 0.260 As

---

# 23
GGA-PBE Th2FeOs, relaxed; energy of formation = 0.68 eV/atom; V = 22.75 Å³ per atom; symmetry = No. 166; spin magnetization = 3.02 μB per cell
1.0
3.329 0.000 0.000
-1.665 2.883 0.000
0.000 0.000 28.443
Th Fe Os
6 3 3
direct
0.000 0.000 0.087 Th
0.000 0.000 0.913 Th
0.333 0.667 0.580 Th
0.333 0.667 0.753 Th
0.667 0.333 0.247 Th
0.667 0.333 0.420 Th
0.000 0.000 0.000 Fe
0.333 0.667 0.667 Fe
0.667 0.333 0.333 Fe
0.000 0.000 0.500 Os
0.333 0.667 0.167 Os
0.667 0.333 0.833 Os

---

# 24
GGA-PBE PrSnPt, relaxed; energy of formation = -1.02 eV/atom; V = 23.99 Å³ per atom; symmetry = No. 59; spin magnetization = 0.00 μB per cell
1.0
4.716 0.000 0.000
0.000 15.161 0.000
0.000 0.000 8.053
Pr Sn Pt
8 8 8
direct
0.250 0.005 0.207 Pr
0.250 0.250 0.297 Pr
0.250 0.495 0.207 Pr
0.250 0.750 0.293 Pr
0.750 0.250 0.707 Pr
0.750 0.505 0.793 Pr
0.750 0.750 0.703 Pr
0.750 0.995 0.793 Pr
0.250 0.097 0.589 Sn
0.250 0.403 0.589 Sn
0.250 0.651 0.912 Sn
0.250 0.849 0.912 Sn
0.750 0.151 0.088 Sn
0.750 0.349 0.088 Sn
0.750 0.597 0.411 Sn
0.750 0.903 0.411 Sn
0.250 0.139 0.919 Pt
0.250 0.361 0.919 Pt
0.250 0.599 0.584 Pt
0.250 0.901 0.584 Pt
0.750 0.099 0.416 Pt
0.750 0.401 0.416 Pt
0.750 0.639 0.081 Pt
0.750 0.861 0.081 Pt